# 1
Mn7Be6 | PBE | relaxed

The calculated formation energy is 221 meV/atom. The calculation puts the density of states at the Fermi level at 0.651 states/eV per atom. Its density is 5.29 g/cm³.

The space group is R-3m (No. 166, hexagonal axes) and the conventional cell measures 4.5038, 4.5038 and 23.5328 Å, with angles of 90.00, 90.00 and 120.00 degrees. The asymmetric unit holds Mn at (0.0000, 0.0000, 0.0000), Mn at (0.0063, 0.5031, 0.4148), Be at (0.0000, 0.0000, 0.1658), Be at (0.0000, 0.0000, 0.3497) and Be at (0.0000, 0.0000, 0.4447).

***

# 2
Mn3Be | PBE | relaxed

The calculated formation energy is -1 meV/atom. The calculation puts the density of states at the Fermi level at 1.091 states/eV per atom. Its density is 6.70 g/cm³.

The space group is I4/mmm (No. 139) and the conventional cell measures 3.640, 3.640 and 6.499 Å, with angles of 90.00, 90.00 and 90.00 degrees. The asymmetric unit holds Mn at (0.000, 0.000, 0.000), Mn at (0.000, 0.500, 0.250) and Be at (0.000, 0.000, 0.500).